8
Lattice="5.888 -1.420 0.000 5.888 1.420 0.000 -5.832 0.000 7.519" Properties=species:S:1:pos:R:3 comment="Cu3Ag5 PBE optimized geometry" spacegroup="Cm, No. 8" formation_energy_ev_per_atom=0.08 vol_a3_per_cell=125.7 pbc="T T T"
Cu 0.000 0.000 0.000
Cu -0.614 0.000 2.511
Cu 7.269 0.000 1.660
Ag -1.377 0.000 5.595
Ag 3.678 0.000 0.813
Ag 3.078 0.000 3.516
Ag 2.090 0.000 6.441
Ag 6.622 0.000 4.349


9
Lattice="4.950 0.000 0.000 0.762 4.893 0.000 0.496 1.275 5.926" Properties=species:S:1:pos:R:3 comment="CuAg2 PBE optimized geometry" spacegroup="P-1, No. 2" formation_energy_ev_per_atom=0.08 vol_a3_per_cell=143.5 pbc="T T T"
Cu 0.000 0.000 0.000
Cu 2.352 1.100 0.637
Cu 3.856 5.068 5.289
Ag 1.476 3.799 4.689
Ag 1.495 1.271 3.312
Ag 2.264 3.635 1.833
Ag 3.944 2.532 4.093
Ag 4.713 4.897 2.614
Ag 4.732 2.368 1.237


9
Lattice="7.372 -1.456 0.000 7.372 1.456 0.000 -4.630 0.000 6.997" Properties=species:S:1:pos:R:3 comment="Cu2Ag7 PBE optimized geometry" spacegroup="C2/m, No. 12" formation_energy_ev_per_atom=0.06 vol_a3_per_cell=150.2 pbc="T T T"
Cu 0.860 0.000 1.158
Cu 9.253 0.000 5.839
Ag -2.315 0.000 3.498
Ag -0.509 0.000 5.808
Ag 2.572 0.000 3.595
Ag 5.889 0.000 1.061
Ag 4.224 0.000 5.936
Ag 7.541 0.000 3.402
Ag 10.623 0.000 1.189


10
Lattice="7.248 -2.014 0.000 7.248 2.014 0.000 -1.196 0.000 5.586" Properties=species:S:1:pos:R:3 comment="Cu3Ag7 PBE optimized geometry" spacegroup="C2/m, No. 12" formation_energy_ev_per_atom=0.08 vol_a3_per_cell=163.1 pbc="T T T"
Cu 0.000 0.000 0.000
Cu 2.225 0.000 3.328
Cu 11.075 0.000 2.258
Ag -0.598 0.000 2.793
Ag 2.785 0.000 0.603
Ag 4.918 0.000 3.884
Ag 5.570 0.000 1.109
Ag 7.730 0.000 4.477
Ag 8.382 0.000 1.701
Ag 10.515 0.000 4.982


9
Lattice="7.142 -1.417 0.000 7.142 1.417 0.000 -4.786 0.000 6.822" Properties=species:S:1:pos:R:3 comment="Cu4Ag5 PBE optimized geometry" spacegroup="C2/m, No. 12" formation_energy_ev_per_atom=0.10 vol_a3_per_cell=138.1 pbc="T T T"
Cu -0.773 0.000 1.178
Cu 2.325 0.000 3.456
Cu 7.172 0.000 3.366
Cu 10.271 0.000 5.644
Ag -2.393 0.000 3.411
Ag 4.004 0.000 1.144
Ag 0.870 0.000 5.650
Ag 8.627 0.000 1.172
Ag 5.494 0.000 5.678


9
Lattice="2.854 0.000 0.000 -1.427 2.472 0.000 0.000 0.000 20.470" Properties=species:S:1:pos:R:3 comment="CuAg2 PBE optimized geometry" spacegroup="P3m1, No. 156" formation_energy_ev_per_atom=0.08 vol_a3_per_cell=144.4 pbc="T T T"
Cu 0.000 0.000 0.000
Cu 0.000 0.000 6.328
Cu 0.000 1.648 4.408
Ag 0.000 0.000 13.415
Ag 0.000 1.648 10.982
Ag 0.000 1.648 18.297
Ag 1.427 0.824 2.193
Ag 1.427 0.824 8.524
Ag 1.427 0.824 15.847


10
Lattice="2.786 0.000 0.000 0.000 3.749 0.000 0.000 0.000 14.163" Properties=species:S:1:pos:R:3 comment="CuAg PBE optimized geometry" spacegroup="Pmmm, No. 47" formation_energy_ev_per_atom=0.08 vol_a3_per_cell=147.9 pbc="T T T"
Cu 0.000 0.000 0.000
Cu 0.000 0.000 2.443
Cu 0.000 0.000 11.720
Cu 1.393 1.874 1.218
Cu 1.393 1.874 12.944
Ag 0.000 0.000 5.456
Ag 0.000 0.000 8.706
Ag 1.393 1.874 3.841
Ag 1.393 1.874 7.081
Ag 1.393 1.874 10.321


10
Lattice="4.711 -1.420 0.000 4.711 1.420 0.000 -1.491 0.000 11.137" Properties=species:S:1:pos:R:3 comment="CuAg PBE optimized geometry" spacegroup="C2/m, No. 12" formation_energy_ev_per_atom=0.08 vol_a3_per_cell=149.0 pbc="T T T"
Cu 0.000 0.000 0.000
Cu -0.310 0.000 7.849
Cu 2.713 0.000 9.077
Cu 5.218 0.000 2.061
Cu 8.241 0.000 3.288
Ag 1.412 0.000 4.222
Ag 2.630 0.000 1.200
Ag 3.965 0.000 5.569
Ag 5.300 0.000 9.937
Ag 6.518 0.000 6.915


9
Lattice="2.521 1.455 7.098 -2.521 1.455 7.098 0.000 -2.911 7.098" Properties=species:S:1:pos:R:3 comment="CuAg8 PBE optimized geometry" spacegroup="R-3, No. 148" formation_energy_ev_per_atom=0.03 vol_a3_per_cell=156.2 pbc="T T T"
Cu 0.000 0.000 0.000
Ag -1.691 0.020 9.435
Ag -0.863 -1.455 11.861
Ag 0.000 0.000 7.099
Ag 0.829 -1.475 9.435
Ag -0.829 1.475 11.861
Ag 0.000 0.000 14.196
Ag 0.863 1.455 9.435
Ag 1.691 -0.020 11.861


10
Lattice="2.360 -6.781 0.000 2.360 6.781 0.000 -1.623 0.000 4.460" Properties=species:S:1:pos:R:3 comment="Cu3Ag2 PBE optimized geometry" spacegroup="C2/c, No. 15" formation_energy_ev_per_atom=0.10 vol_a3_per_cell=142.8 pbc="T T T"
Cu 1.143 6.056 3.345
Cu 1.143 3.444 3.345
Cu 1.955 2.061 1.115
Cu 1.143 -2.061 3.345
Cu 1.955 -3.444 1.115
Cu 1.955 -6.056 1.115
Ag 1.955 4.693 1.115
Ag 1.143 0.688 3.345
Ag 1.955 -0.688 1.115
Ag 1.143 -4.693 3.345


10
Lattice="5.553 -1.425 0.000 5.553 1.425 0.000 -1.214 0.000 9.409" Properties=species:S:1:pos:R:3 comment="CuAg PBE optimized geometry" spacegroup="C2/m, No. 12" formation_energy_ev_per_atom=0.08 vol_a3_per_cell=148.9 pbc="T T T"
Cu 0.000 0.000 0.000
Cu 1.521 0.000 5.508
Cu 2.311 0.000 8.682
Cu 7.581 0.000 0.727
Cu 8.371 0.000 3.900
Ag 0.905 0.000 2.683
Ag 4.044 0.000 1.899
Ag 4.946 0.000 4.704
Ag 5.848 0.000 7.509
Ag 8.987 0.000 6.725


9
Lattice="6.784 -1.351 0.000 6.784 1.351 0.000 -0.274 0.000 6.473" Properties=species:S:1:pos:R:3 comment="Cu7Ag2 PBE optimized geometry" spacegroup="C2/m, No. 12" formation_energy_ev_per_atom=0.07 vol_a3_per_cell=118.7 pbc="T T T"
Cu 0.000 0.000 0.000
Cu 2.883 0.000 2.141
Cu 4.207 0.000 6.409
Cu 5.774 0.000 4.438
Cu 7.520 0.000 2.035
Cu 9.086 0.000 0.064
Cu 10.411 0.000 4.332
Ag 1.308 0.000 4.308
Ag 11.986 0.000 2.165


10
Lattice="4.685 -1.409 0.000 4.685 1.409 0.000 -1.180 0.000 10.821" Properties=species:S:1:pos:R:3 comment="Cu3Ag2 PBE optimized geometry" spacegroup="C2/m, No. 12" formation_energy_ev_per_atom=0.08 vol_a3_per_cell=142.8 pbc="T T T"
Cu -0.185 0.000 3.926
Cu 1.471 0.000 0.584
Cu 2.746 0.000 5.078
Cu 5.443 0.000 5.743
Cu 6.718 0.000 10.237
Cu 8.374 0.000 6.895
Ag 1.594 0.000 7.897
Ag 4.060 0.000 1.571
Ag 4.130 0.000 9.250
Ag 6.595 0.000 2.924


8
Lattice="2.880 0.000 0.000 0.000 2.880 0.000 0.000 0.000 15.085" Properties=species:S:1:pos:R:3 comment="Cu3Ag5 PBE optimized geometry" spacegroup="P4mm, No. 99" formation_energy_ev_per_atom=0.06 vol_a3_per_cell=125.1 pbc="T T T"
Cu 0.000 0.000 0.000
Cu 0.000 0.000 7.214
Cu 1.440 1.440 5.767
Ag 0.000 0.000 3.952
Ag 0.000 0.000 11.156
Ag 1.440 1.440 1.810
Ag 1.440 1.440 9.027
Ag 1.440 1.440 13.281


9
Lattice="5.864 -1.430 0.000 5.864 1.430 0.000 -2.277 0.000 8.591" Properties=species:S:1:pos:R:3 comment="CuAg2 PBE optimized geometry" spacegroup="C2/m, No. 12" formation_energy_ev_per_atom=0.07 vol_a3_per_cell=144.1 pbc="T T T"
Cu 0.000 0.000 0.000
Cu 3.707 0.000 0.782
Cu 5.744 0.000 7.809
Ag -1.488 0.000 5.970
Ag 2.006 0.000 6.800
Ag 2.967 0.000 3.889
Ag 6.483 0.000 4.702
Ag 7.445 0.000 1.791
Ag 10.938 0.000 2.621


6
Lattice="2.846 0.000 0.000 0.000 3.948 0.000 0.000 0.000 8.516" Properties=species:S:1:pos:R:3 comment="CuAg2 PBE optimized geometry" spacegroup="Pmmn, No. 59" formation_energy_ev_per_atom=0.08 vol_a3_per_cell=95.7 pbc="T T T"
Cu 0.712 0.987 0.643
Cu 2.135 2.961 7.873
Ag 0.712 0.987 3.489
Ag 0.712 0.987 6.555
Ag 2.135 2.961 1.962
Ag 2.135 2.961 5.027


7
Lattice="1.406 0.812 15.856 -1.406 0.812 15.856 0.000 -1.623 15.856" Properties=species:S:1:pos:R:3 comment="Cu3Ag4 PBE optimized geometry" spacegroup="R-3m, No. 166" formation_energy_ev_per_atom=0.11 vol_a3_per_cell=108.6 pbc="T T T"
Cu 0.000 0.000 0.000
Cu 0.000 0.000 20.311
Cu 0.000 0.000 27.258
Ag 0.000 0.000 6.674
Ag 0.000 0.000 13.627
Ag 0.000 0.000 33.943
Ag 0.000 0.000 40.895


8
Lattice="4.840 0.000 0.000 0.000 2.849 0.000 -1.555 0.000 9.201" Properties=species:S:1:pos:R:3 comment="Cu3Ag5 PBE optimized geometry" spacegroup="P2/m, No. 10" formation_energy_ev_per_atom=0.10 vol_a3_per_cell=126.9 pbc="T T T"
Cu 0.000 0.000 0.000
Cu 0.812 1.424 2.185
Cu 2.473 1.424 7.017
Ag -0.778 1.424 4.601
Ag -0.002 0.000 6.938
Ag 1.642 0.000 4.601
Ag 2.420 1.424 0.000
Ag 3.287 0.000 2.263


10
Lattice="6.211 0.000 0.000 0.000 6.211 0.000 0.000 0.000 3.873" Properties=species:S:1:pos:R:3 comment="CuAg PBE optimized geometry" spacegroup="P4/m, No. 83" formation_energy_ev_per_atom=0.09 vol_a3_per_cell=149.4 pbc="T T T"
Cu 0.000 0.000 0.000
Cu 0.567 4.442 1.937
Cu 1.769 0.567 1.937
Cu 4.442 5.644 1.937
Cu 5.644 1.769 1.937
Ag 1.185 2.387 0.000
Ag 2.387 5.026 0.000
Ag 3.106 3.106 1.937
Ag 3.824 1.185 0.000
Ag 5.026 3.824 0.000


32
Lattice="5.549 0.000 0.000 -0.002 7.734 0.000 -0.059 -0.017 11.108" Properties=species:S:1:pos:R:3 comment="CuAg PBE optimized geometry" spacegroup="P1, No. 1" formation_energy_ev_per_atom=0.10 vol_a3_per_cell=476.7 pbc="T T T"
Cu 0.000 0.000 0.000
Cu 5.531 3.781 2.932
Cu -0.006 7.612 2.916
Cu -0.032 7.619 8.497
Cu -0.007 3.869 5.706
Cu 1.250 1.748 9.759
Cu 1.318 1.760 1.509
Cu 1.328 5.664 4.350
Cu 1.318 5.755 9.720
Cu 1.374 5.738 7.169
Cu 2.704 3.751 8.469
Cu 2.734 7.504 5.804
Cu 2.726 7.600 8.378
Cu 4.090 5.750 7.119
Cu 4.106 1.732 7.157
Cu 4.107 1.728 9.668
Ag 5.547 3.665 0.066
Ag -0.016 7.532 5.777
Ag 1.283 1.860 4.307
Ag 1.314 5.747 1.435
Ag 1.383 1.771 7.123
Ag 2.680 7.614 3.000
Ag 2.643 -0.004 11.097
Ag 2.693 3.761 2.867
Ag 2.682 3.615 11.090
Ag 2.731 3.854 5.837
Ag 4.108 1.840 4.454
Ag 4.093 5.752 9.758
Ag 4.148 5.759 1.464
Ag 4.170 5.669 4.314
Ag 4.207 1.755 1.560
Ag 5.472 3.765 8.362